Record 1
A plane-wave DFT calculation with PBE was carried out for a relaxed ErTmPd crystal.

a = 6.9957 Å, b = 4.8167 Å, c = 8.6435 Å
α = 90.00°, β = 90.00°, γ = 90.00°
Space group Pnma (No. 62)
One atom of each set of equivalent atoms:
Er  0.0162  0.2500  0.1718 (multiplicity 4)
Tm  0.1447  0.2500  0.5798 (multiplicity 4)
Pd  0.2407  0.2500  0.9051 (multiplicity 4)

Calculated values
Energy of formation in eV/atom: -0.663
E above lowest polymorph in meV per atom: 0.0
Crystal system: orthorhombic

Record 2
A plane-wave DFT calculation with PBE was carried out for a relaxed ErTmPd crystal.

a = 6.8054 Å, b = 6.8054 Å, c = 6.8054 Å
α = 90.00°, β = 90.00°, γ = 90.00°
Space group F-43m (No. 216)
One atom of each set of equivalent atoms:
Er  0.0000  0.0000  0.0000 (multiplicity 4)
Tm  0.0000  0.0000  0.5000 (multiplicity 4)
Pd  0.2500  0.2500  0.2500 (multiplicity 4)

Calculated values
Energy of formation in eV/atom: -0.518
E above lowest polymorph in meV per atom: 144.9
Crystal system: cubic

Record 3
A plane-wave DFT calculation with PBE was carried out for a relaxed ErUPd crystal.

a = 6.8196 Å, b = 6.8196 Å, c = 6.8196 Å
α = 90.00°, β = 90.00°, γ = 90.00°
Space group F-43m (No. 216)
One atom of each set of equivalent atoms:
Er  0.0000  0.0000  0.0000 (multiplicity 4)
U  0.0000  0.0000  0.5000 (multiplicity 4)
Pd  0.2500  0.2500  0.2500 (multiplicity 4)

Calculated values
Energy of formation in eV/atom: 0.156
E above lowest polymorph in meV per atom: 0.0
Crystal system: cubic

Record 4
A plane-wave DFT calculation with PBE was carried out for a relaxed ErPdW crystal.

a = 6.3872 Å, b = 6.3872 Å, c = 6.3872 Å
α = 90.00°, β = 90.00°, γ = 90.00°
Space group F-43m (No. 216)
One atom of each set of equivalent atoms:
Er  0.0000  0.0000  0.0000 (multiplicity 4)
Pd  0.2500  0.2500  0.2500 (multiplicity 4)
W  0.0000  0.0000  0.5000 (multiplicity 4)

Calculated values
Energy of formation in eV/atom: 0.561
E above lowest polymorph in meV per atom: 0.0
Crystal system: cubic

Record 5
A plane-wave DFT calculation with PBE was carried out for a relaxed ErPdW crystal.

a = 6.4934 Å, b = 6.4934 Å, c = 6.4934 Å
α = 90.00°, β = 90.00°, γ = 90.00°
Space group F-43m (No. 216)
One atom of each set of equivalent atoms:
Er  0.0000  0.0000  0.0000 (multiplicity 4)
Pd  0.2500  0.2500  0.7500 (multiplicity 4)
W  0.2500  0.2500  0.2500 (multiplicity 4)

Calculated values
Energy of formation in eV/atom: 1.195
E above lowest polymorph in meV per atom: 634.7
Crystal system: cubic

Record 6
A plane-wave DFT calculation with PBE was carried out for a relaxed YErPd2 crystal.

a = 5.5678 Å, b = 4.5611 Å, c = 6.9048 Å
α = 90.00°, β = 90.67°, γ = 90.00°
Space group P2_1/m (No. 11)
One atom of each set of equivalent atoms:
Y  0.1437  0.2500  0.1830 (multiplicity 2)
Er  0.3583  0.2500  0.6819 (multiplicity 2)
Pd  0.1567  0.7500  0.4615 (multiplicity 2)
Pd  0.3485  0.7500  0.9549 (multiplicity 2)

Calculated values
Energy of formation in eV/atom: -0.934
E above lowest polymorph in meV per atom: 0.0
Crystal system: monoclinic

Record 7
A plane-wave DFT calculation with PBE was carried out for a relaxed YEr3Pd4 crystal.

a = 5.5626 Å, b = 4.5499 Å, c = 6.8761 Å
α = 90.00°, β = 90.32°, γ = 90.00°
Space group Pm (No. 6)
One atom of each set of equivalent atoms:
Y  0.0000  0.0000  0.0000 (multiplicity 1)
Er  0.2146  0.0000  0.4991 (multiplicity 1)
Er  0.4988  0.5000  0.1361 (multiplicity 1)
Er  0.7132  0.5000  0.6360 (multiplicity 1)
Pd  0.0122  0.5000  0.2828 (multiplicity 1)
Pd  0.2032  0.5000  0.7704 (multiplicity 1)
Pd  0.5116  0.0000  0.8574 (multiplicity 1)
Pd  0.6986  0.0000  0.3618 (multiplicity 1)

Calculated values
Energy of formation in eV/atom: -0.945
Crystal system: monoclinic

Record 8
A plane-wave DFT calculation with PBE was carried out for a relaxed YErPd2 crystal.

a = 4.4630 Å, b = 6.9066 Å, c = 5.6567 Å
α = 90.00°, β = 90.00°, γ = 90.00°
Space group Pmn2_1 (No. 31)
One atom of each set of equivalent atoms:
Y  0.0000  0.0682  0.0000 (multiplicity 2)
Er  0.0000  0.5692  0.2170 (multiplicity 2)
Pd  0.0000  0.2167  0.5121 (multiplicity 2)
Pd  0.0000  0.7001  0.7035 (multiplicity 2)

Calculated values
Energy of formation in eV/atom: -0.931
E above lowest polymorph in meV per atom: 3.1
Crystal system: orthorhombic

Record 9
A plane-wave DFT calculation with PBE was carried out for a relaxed YErPd2 crystal.

a = 4.4699 Å, b = 5.6699 Å, c = 6.8812 Å
α = 90.00°, β = 90.00°, γ = 90.00°
Space group Pmc2_1 (No. 26)
One atom of each set of equivalent atoms:
Y  0.0000  0.1089  0.0000 (multiplicity 2)
Er  0.5000  0.3910  0.3632 (multiplicity 2)
Pd  0.0000  0.4061  0.6398 (multiplicity 2)
Pd  0.5000  0.0983  0.7220 (multiplicity 2)

Calculated values
Energy of formation in eV/atom: -0.928
E above lowest polymorph in meV per atom: 6.1
Crystal system: orthorhombic

Record 10
A plane-wave DFT calculation with PBE was carried out for a relaxed Y3ErPd4 crystal.

a = 5.6016 Å, b = 4.5542 Å, c = 6.9585 Å
α = 90.00°, β = 90.31°, γ = 90.00°
Space group Pm (No. 6)
One atom of each set of equivalent atoms:
Y  0.0000  0.0000  0.0000 (multiplicity 1)
Y  0.2152  0.0000  0.4998 (multiplicity 1)
Y  0.5009  0.5000  0.8642 (multiplicity 1)
Er  0.7164  0.5000  0.3633 (multiplicity 1)
Pd  0.0089  0.5000  0.7205 (multiplicity 1)
Pd  0.2046  0.5000  0.2252 (multiplicity 1)
Pd  0.5140  0.0000  0.1459 (multiplicity 1)
Pd  0.7047  0.0000  0.6343 (multiplicity 1)

Calculated values
Energy of formation in eV/atom: -0.925
Crystal system: monoclinic

Record 11
A plane-wave DFT calculation with PBE was carried out for a relaxed YErPd6 crystal.

a = 4.1073 Å, b = 4.1073 Å, c = 8.2101 Å
α = 90.00°, β = 90.00°, γ = 90.00°
Space group P4/mmm (No. 123)
One atom of each set of equivalent atoms:
Y  0.0000  0.0000  0.0000 (multiplicity 1)
Er  0.0000  0.0000  0.5000 (multiplicity 1)
Pd  0.0000  0.5000  0.2526 (multiplicity 4)
Pd  0.5000  0.5000  0.0000 (multiplicity 1)
Pd  0.5000  0.5000  0.5000 (multiplicity 1)

Calculated values
Energy of formation in eV/atom: -0.890
Crystal system: tetragonal

Record 12
A plane-wave DFT calculation with PBE was carried out for a relaxed Er5Zn4Pd crystal.

a = 3.5331 Å, b = 3.5331 Å, c = 17.4161 Å
α = 90.00°, β = 90.00°, γ = 90.00°
Space group P4/mmm (No. 123)
One atom of each set of equivalent atoms:
Er  0.0000  0.0000  0.0000 (multiplicity 1)
Er  0.0000  0.0000  0.2021 (multiplicity 2)
Er  0.0000  0.0000  0.4035 (multiplicity 2)
Zn  0.5000  0.5000  0.1021 (multiplicity 2)
Zn  0.5000  0.5000  0.3009 (multiplicity 2)
Pd  0.5000  0.5000  0.5000 (multiplicity 1)

Calculated values
Energy of formation in eV/atom: -0.479
Crystal system: tetragonal